--- P ---
Computed, not measured: crystalline Ta4Cr at its relaxed geometry at the PBEsol level of DFT.

Results
Total magnetization   0.000 μB per atom
ρ   15.7 g cm⁻³

The structure in extended XYZ format:
```
5
Lattice="3.159 0.000 0.000 1.580 5.095 0.000 1.580 0.000 5.095" Properties=species:S:1:pos:R:3 pbc="T T T"
Ta 4.739 3.172 4.097
Ta 1.580 1.923 0.998
Ta 3.159 4.097 1.923
Ta 3.159 0.998 3.172
Cr 0.000 0.000 0.000
```

***

--- Q ---
Computed, not measured: crystalline Ta4Cr at its relaxed geometry at the PBEsol level of DFT.

Results
Total magnetization   0.001 μB per atom
ρ   13.5 g cm⁻³

The structure in extended XYZ format:
```
5
Lattice="4.985 0.000 0.000 -1.662 4.700 0.000 -1.662 -2.350 4.070" Properties=species:S:1:pos:R:3 pbc="T T T"
Ta -0.831 -1.175 2.035
Ta -0.831 2.350 0.000
Ta 2.493 0.000 0.000
Ta 0.831 1.175 2.035
Cr 0.000 0.000 0.000
```

***

Relative to the most stable structure, the computed energies are P 0; Q 1011, all in meV/atom.

***

--- P ---
Computed, not measured: crystalline TaCrTe2 at its relaxed geometry at the PBEsol level of DFT.

Results
Total magnetization   0.739 μB per atom
ρ   9.8 g cm⁻³

The structure in extended XYZ format:
```
4
Lattice="-3.258 1.139 -0.778 -0.526 -3.016 -2.215 -0.360 -2.209 6.317" Properties=species:S:1:pos:R:3 pbc="T T T"
Cr -2.164 -3.026 4.634
Te -2.951 -1.280 2.443
Te -0.144 -0.201 0.308
Ta -1.135 -2.727 0.759
```

***

--- Q ---
Computed, not measured: crystalline TaCrTe2 at its relaxed geometry at the PBEsol level of DFT.

Results
Total magnetization   1.235 μB per atom
ρ   9.4 g cm⁻³

The structure in extended XYZ format:
```
4
Lattice="-3.421 -0.975 -0.409 -0.909 -2.298 -2.592 -0.329 -7.055 3.897" Properties=species:S:1:pos:R:3 pbc="T T T"
Te -1.169 -2.557 0.204
Te -3.489 -7.771 0.692
Cr -2.329 -5.164 0.448
Ta 0.000 0.000 0.000
```

***

Relative to the most stable structure, the computed energies are P 0; Q 104, all in meV/atom.

***

--- P ---
Computed, not measured: crystalline TaTlCr at its relaxed geometry at the PBEsol level of DFT.

Results
Total magnetization   0.990 μB per atom
ρ   11.6 g cm⁻³

The structure in extended XYZ format:
```
3
Lattice="-1.009 2.183 -3.751 1.875 -1.212 -3.856 -2.455 -1.987 -3.143" Properties=species:S:1:pos:R:3 pbc="T T T"
Cr 0.000 0.000 0.000
Ta -0.794 -0.508 -5.375
Tl -0.397 -0.254 -2.688
```

***

--- Q ---
Computed, not measured: crystalline TaTlCr at its relaxed geometry at the PBEsol level of DFT.

Results
Total magnetization   0.792 μB per atom
ρ   11.3 g cm⁻³

The structure in extended XYZ format:
```
3
Lattice="-3.135 1.000 3.058 0.737 -0.880 4.342 0.677 3.370 2.891" Properties=species:S:1:pos:R:3 pbc="T T T"
Tl 0.000 0.000 0.000
Cr -0.860 1.745 5.146
Ta -0.430 0.873 2.573
```

***

--- R ---
Computed, not measured: crystalline TaTlCr at its relaxed geometry at the PBEsol level of DFT.

Results
Total magnetization   0.878 μB per atom
ρ   13.4 g cm⁻³

The structure in extended XYZ format:
```
3
Lattice="3.011 0.000 0.000 -1.505 2.607 0.000 0.000 0.000 6.904" Properties=species:S:1:pos:R:3 pbc="T T T"
Ta 0.000 1.738 4.761
Tl 1.505 0.869 2.234
Cr 0.000 0.000 6.812
```

***

Relative to the most stable structure, the computed energies are P 704; Q 740; R 0, all in meV/atom.

***

--- P ---
Computed, not measured: crystalline Ta2TlCr at its relaxed geometry at the PBEsol level of DFT.

Results
Total magnetization   0.000 μB per atom
ρ   15.1 g cm⁻³

The structure in extended XYZ format:
```
4
Lattice="3.259 0.000 0.000 0.000 4.601 0.086 -1.629 -2.150 4.494" Properties=species:S:1:pos:R:3 pbc="T T T"
Ta 1.629 0.077 2.196
Ta 1.629 2.497 4.364
Cr 0.000 2.268 2.439
Tl 1.629 2.360 0.204
```

***

--- Q ---
Computed, not measured: crystalline Ta2TlCr at its relaxed geometry at the PBEsol level of DFT.

Results
Total magnetization   0.000 μB per atom
ρ   14.7 g cm⁻³

The structure in extended XYZ format:
```
4
Lattice="-1.996 2.135 0.080 -0.512 -1.965 -2.104 -4.888 -4.779 5.653" Properties=species:S:1:pos:R:3 pbc="T T T"
Ta -1.048 -1.025 1.213
Ta -3.839 -3.754 4.441
Cr -1.254 0.085 -1.012
Tl -3.698 -2.304 1.814
```

***

Relative to the most stable structure, the computed energies are P 52; Q 0, all in meV/atom.

***

--- P ---
Computed, not measured: crystalline TaCr2W at its relaxed geometry at the PBEsol level of DFT.

Results
Total magnetization   0.000 μB per atom
ρ   14.0 g cm⁻³

The structure in extended XYZ format:
```
4
Lattice="4.280 0.000 0.000 2.140 3.707 0.000 2.140 1.236 3.495" Properties=species:S:1:pos:R:3 pbc="T T T"
Cr 2.140 1.236 0.874
Cr 6.420 3.707 2.621
W 0.000 0.000 0.000
Ta 4.280 2.471 1.747
```

***

--- Q ---
Computed, not measured: crystalline TaCr2W at its relaxed geometry at the PBEsol level of DFT.

Results
Total magnetization   0.000 μB per atom
ρ   14.0 g cm⁻³

The structure in extended XYZ format:
```
4
Lattice="-0.516 -2.830 0.947 2.955 -1.453 -2.730 3.006 0.459 3.009" Properties=species:S:1:pos:R:3 pbc="T T T"
W -0.258 -1.415 0.474
Cr 1.478 -0.726 -1.365
Cr 1.503 0.230 1.505
Ta 2.723 -1.912 0.613
```

***

Relative to the most stable structure, the computed energies are P 0; Q 7, all in meV/atom.

***

--- P ---
Computed, not measured: crystalline TaCr2W at its relaxed geometry at the PBEsol level of DFT.

Results
Total magnetization   0.000 μB per atom
ρ   13.8 g cm⁻³

The structure in extended XYZ format:
```
4
Lattice="-1.338 2.597 -0.921 -3.937 -1.941 0.247 2.282 0.898 4.313" Properties=species:S:1:pos:R:3 pbc="T T T"
Ta -0.669 1.298 -0.460
Cr -2.813 0.932 1.623
Cr -0.180 0.622 2.017
W -1.968 -0.971 0.123
```

***

--- Q ---
Computed, not measured: crystalline TaCr2W at its relaxed geometry at the PBEsol level of DFT.

Results
Total magnetization   0.000 μB per atom
ρ   13.5 g cm⁻³

The structure in extended XYZ format:
```
4
Lattice="-2.640 0.141 1.215 -1.924 -2.136 -0.449 1.198 -4.449 6.603" Properties=species:S:1:pos:R:3 pbc="T T T"
Ta -1.683 -3.222 3.685
Cr -0.860 -1.585 1.799
Cr -2.506 -4.859 5.570
W 0.000 0.000 0.000
```

***

Relative to the most stable structure, the computed energies are P 0; Q 336, all in meV/atom.

***

--- P ---
Computed, not measured: crystalline Y2TaCr at its relaxed geometry at the PBEsol level of DFT.

Results
Total magnetization   0.096 μB per atom
ρ   7.9 g cm⁻³

The structure in extended XYZ format:
```
4
Lattice="3.396 0.000 0.000 0.000 5.059 0.000 -1.698 -2.530 4.999" Properties=species:S:1:pos:R:3 pbc="T T T"
Y 1.698 0.000 4.913
Y 1.698 2.530 2.773
Cr 1.698 0.000 0.309
Ta 0.000 0.000 2.004
```

***

--- Q ---
Computed, not measured: crystalline Y2TaCr at its relaxed geometry at the PBEsol level of DFT.

Results
Total magnetization   0.735 μB per atom
ρ   7.7 g cm⁻³

The structure in extended XYZ format:
```
4
Lattice="4.535 0.000 0.000 0.000 4.535 0.000 -2.267 -2.267 4.303" Properties=species:S:1:pos:R:3 pbc="T T T"
Ta 0.000 0.000 0.000
Cr 2.267 2.267 0.000
Y 0.000 2.267 2.152
Y 2.267 0.000 2.152
```

***

Relative to the most stable structure, the computed energies are P 0; Q 275, all in meV/atom.

***

--- P ---
Computed, not measured: crystalline Zr2TaCr at its relaxed geometry at the PBEsol level of DFT.

Results
Total magnetization   0.001 μB per atom
ρ   9.5 g cm⁻³

The structure in extended XYZ format:
```
4
Lattice="3.024 0.000 0.002 0.000 4.197 0.000 -1.296 0.000 5.690" Properties=species:S:1:pos:R:3 pbc="T T T"
Cr 0.828 0.000 2.951
Zr 1.764 2.099 1.582
Zr 1.736 0.000 5.592
Ta -0.007 2.099 4.105
```

***

--- Q ---
Computed, not measured: crystalline Zr2TaCr at its relaxed geometry at the PBEsol level of DFT.

Results
Total magnetization   0.461 μB per atom
ρ   9.5 g cm⁻³

The structure in extended XYZ format:
```
4
Lattice="2.951 -0.001 -0.002 -0.998 5.307 0.015 -0.998 -2.629 4.609" Properties=species:S:1:pos:R:3 pbc="T T T"
Ta 1.475 -0.001 -0.001
Cr 0.478 1.338 2.311
Zr -0.499 -1.315 2.305
Zr -0.499 2.653 0.008
```

***

--- R ---
Computed, not measured: crystalline Zr2TaCr at its relaxed geometry at the PBEsol level of DFT.

Results
Total magnetization   0.001 μB per atom
ρ   9.7 g cm⁻³

The structure in extended XYZ format:
```
4
Lattice="2.920 -0.013 0.000 -1.069 2.717 0.000 0.000 0.000 8.945" Properties=species:S:1:pos:R:3 pbc="T T T"
Cr 0.926 1.352 4.473
Ta 0.926 1.352 0.000
Zr 0.000 0.000 6.462
Zr 0.000 0.000 2.483
```

***

Relative to the most stable structure, the computed energies are P 0; Q 118; R 46, all in meV/atom.

***

--- P ---
Computed, not measured: crystalline CrTc2 at its relaxed geometry at the PBEsol level of DFT.

Results
Total magnetization   0.000 μB per atom
ρ   10.5 g cm⁻³

The structure in extended XYZ format:
```
3
Lattice="2.953 0.000 0.000 0.000 2.953 0.000 -1.477 -1.477 4.517" Properties=species:S:1:pos:R:3 pbc="T T T"
Tc 1.477 1.477 1.427
Tc 0.000 0.000 3.090
Cr 0.000 0.000 0.000
```

***

--- Q ---
Computed, not measured: crystalline CrTc2 at its relaxed geometry at the PBEsol level of DFT.

Results
Total magnetization   0.000 μB per atom
ρ   10.4 g cm⁻³

The structure in extended XYZ format:
```
3
Lattice="-1.965 0.246 1.733 -1.503 -3.704 -1.177 2.769 0.233 3.105" Properties=species:S:1:pos:R:3 pbc="T T T"
Tc -1.469 -2.217 1.477
Tc 0.770 -1.007 2.184
Cr 0.000 0.000 0.000
```

***

--- R ---
Computed, not measured: crystalline CrTc2 at its relaxed geometry at the PBEsol level of DFT.

Results
Total magnetization   0.001 μB per atom
ρ   10.4 g cm⁻³

The structure in extended XYZ format:
```
6
Lattice="2.889 0.000 0.000 -1.444 4.802 0.011 0.000 -1.714 5.682" Properties=species:S:1:pos:R:3 pbc="T T T"
Tc 0.000 1.705 5.118
Tc 1.444 0.501 3.145
Tc 1.445 1.383 0.575
Tc 0.000 2.586 2.548
Cr 0.000 -1.085 4.379
Cr 1.444 4.173 1.314
```

***

Relative to the most stable structure, the computed energies are P 13; Q 37; R 0, all in meV/atom.

***

--- P ---
Computed, not measured: crystalline CrTcTe2 at its relaxed geometry at the PBEsol level of DFT.

Results
Total magnetization   0.000 μB per atom
ρ   10.1 g cm⁻³

The structure in extended XYZ format:
```
4
Lattice="-2.807 1.339 -0.819 -1.362 -2.912 -0.093 -1.563 0.532 6.227" Properties=species:S:1:pos:R:3 pbc="T T T"
Cr -2.084 -0.786 -0.456
Tc -2.866 -0.520 2.658
Te -0.380 0.129 1.514
Te -1.183 0.403 4.713
```

***

--- Q ---
Computed, not measured: crystalline CrTcTe2 at its relaxed geometry at the PBEsol level of DFT.

Results
Total magnetization   0.843 μB per atom
ρ   8.3 g cm⁻³

The structure in extended XYZ format:
```
4
Lattice="-1.356 -2.817 1.752 3.463 -0.192 2.373 -2.070 3.685 3.319" Properties=species:S:1:pos:R:3 pbc="T T T"
Te -2.630 0.541 3.881
Te -0.797 0.327 1.189
Cr 1.053 -1.504 2.062
Tc 0.696 1.747 2.846
```

***

--- R ---
Computed, not measured: crystalline CrTcTe2 at its relaxed geometry at the PBEsol level of DFT.

Results
Total magnetization   0.000 μB per atom
ρ   7.9 g cm⁻³

The structure in extended XYZ format:
```
4
Lattice="-1.466 3.125 2.042 0.156 -3.620 1.714 6.023 2.628 0.304" Properties=species:S:1:pos:R:3 pbc="T T T"
Te 3.647 0.812 1.376
Te 0.543 0.121 0.205
Cr 1.915 -0.860 2.691
Tc 1.042 1.314 2.675
```

***

Relative to the most stable structure, the computed energies are P 248; Q 582; R 0, all in meV/atom.

***

--- P ---
Computed, not measured: crystalline Cr2TcW at its relaxed geometry at the PBEsol level of DFT.

Results
Total magnetization   0.000 μB per atom
ρ   12.3 g cm⁻³

The structure in extended XYZ format:
```
4
Lattice="-1.798 1.804 3.331 -2.846 -2.108 2.245 0.942 -1.325 3.865" Properties=species:S:1:pos:R:3 pbc="T T T"
W -1.851 -0.815 4.721
Cr -2.776 -1.222 7.081
Cr -0.925 -0.407 2.360
Tc 0.000 0.000 0.000
```

***

--- Q ---
Computed, not measured: crystalline Cr2TcW at its relaxed geometry at the PBEsol level of DFT.

Results
Total magnetization   0.064 μB per atom
ρ   12.1 g cm⁻³

The structure in extended XYZ format:
```
4
Lattice="-0.186 -1.792 2.390 -0.207 -3.312 -2.499 4.231 -0.328 0.084" Properties=species:S:1:pos:R:3 pbc="T T T"
Tc -0.197 -2.552 -0.055
Cr 2.023 -1.060 1.237
Cr 0.000 0.000 0.000
W 2.012 -1.820 -1.207
```

***

--- R ---
Computed, not measured: crystalline Cr2TcW at its relaxed geometry at the PBEsol level of DFT.

Results
Total magnetization   0.000 μB per atom
ρ   12.2 g cm⁻³

The structure in extended XYZ format:
```
4
Lattice="2.959 0.000 0.000 0.000 2.959 0.000 0.000 0.000 5.978" Properties=species:S:1:pos:R:3 pbc="T T T"
W 1.480 1.480 4.559
Cr 0.000 0.000 0.080
Cr 1.480 1.480 1.403
Tc 0.000 0.000 2.925
```

***

Relative to the most stable structure, the computed energies are P 17; Q 31; R 0, all in meV/atom.

***

--- P ---
Computed, not measured: crystalline Cr2TcW at its relaxed geometry at the PBEsol level of DFT.

Results
Total magnetization   0.000 μB per atom
ρ   12.2 g cm⁻³

The structure in extended XYZ format:
```
4
Lattice="2.966 0.000 0.000 0.000 4.209 0.000 -1.483 -2.104 4.191" Properties=species:S:1:pos:R:3 pbc="T T T"
W 1.483 0.000 2.052
Cr 1.483 2.104 4.149
Cr 0.000 2.104 2.153
Tc 1.483 2.104 0.027
```

***

--- Q ---
Computed, not measured: crystalline Cr2TcW at its relaxed geometry at the PBEsol level of DFT.

Results
Total magnetization   0.042 μB per atom
ρ   12.2 g cm⁻³

The structure in extended XYZ format:
```
4
Lattice="4.206 0.000 0.000 2.103 3.643 0.000 2.103 1.214 3.435" Properties=species:S:1:pos:R:3 pbc="T T T"
Cr 6.310 3.643 2.576
Cr 0.000 0.000 0.000
W 2.103 1.214 0.859
Tc 4.206 2.429 1.717
```

***

Relative to the most stable structure, the computed energies are P 0; Q 23, all in meV/atom.

***

--- P ---
Computed, not measured: crystalline Cr2TcW at its relaxed geometry at the PBEsol level of DFT.

Results
Total magnetization   0.000 μB per atom
ρ   12.3 g cm⁻³

The structure in extended XYZ format:
```
4
Lattice="2.965 0.000 0.000 0.000 4.194 0.000 0.000 0.000 4.194" Properties=species:S:1:pos:R:3 pbc="T T T"
Cr 0.000 0.000 2.097
Cr 0.000 2.097 0.000
Tc 1.483 2.097 2.097
W 1.483 0.000 0.000
```

***

--- Q ---
Computed, not measured: crystalline Cr2TcW at its relaxed geometry at the PBEsol level of DFT.

Results
Total magnetization   0.000 μB per atom
ρ   12.1 g cm⁻³

The structure in extended XYZ format:
```
4
Lattice="2.990 0.000 0.000 0.000 4.244 0.000 -1.495 -2.122 4.159" Properties=species:S:1:pos:R:3 pbc="T T T"
W 1.495 0.000 0.000
Tc 0.000 2.122 0.000
Cr 1.495 2.122 2.100
Cr 0.000 0.000 2.059
```

***

Relative to the most stable structure, the computed energies are P 0; Q 29, all in meV/atom.